i | Computed, not measured: a relaxed structure of Mg7In12Pb at the GGA-PBE level of DFT.

a b c (Å): 8.4692 8.4692 8.4692
angles (deg): 106.88 106.88 106.88
Fractional coordinates of all 20 atoms:
Mg1 0.1077 0.6731 0.9811
Mg2 0.3269 0.0189 0.8923
Mg3 0.0189 0.8923 0.3269
Mg4 0.5000 0.5000 0.5000
Mg5 0.9811 0.1077 0.6731
Mg6 0.6731 0.9811 0.1077
Mg7 0.8923 0.3269 0.0189
In1 0.7796 0.3406 0.6309
In2 0.6594 0.3691 0.2204
In3 0.4100 0.0432 0.2961
In4 0.9568 0.7039 0.5900
In5 0.3691 0.2204 0.6594
In6 0.7039 0.5900 0.9568
In7 0.2961 0.4100 0.0432
In8 0.6309 0.7796 0.3406
In9 0.0432 0.2961 0.4100
In10 0.5900 0.9568 0.7039
In11 0.3406 0.6309 0.7796
In12 0.2204 0.6594 0.3691
Pb1 0.0000 0.0000 0.0000

## Properties
crystal system = trigonal
SG = R-3


ii | Computed, not measured: a relaxed structure of Mg7In12Pb at the GGA-PBE level of DFT.

a b c (Å): 6.5342 9.8936 8.6024
angles (deg): 100.00 103.43 107.63
Fractional coordinates of all 20 atoms:
Mg1 0.1959 0.7964 0.2006
Mg2 0.1473 0.0994 0.4060
Mg3 0.5491 0.6976 0.7980
Mg4 0.5000 0.0000 0.0000
Mg5 0.4509 0.3024 0.2020
Mg6 0.8527 0.9006 0.5940
Mg7 0.8041 0.2036 0.7994
In1 0.2525 0.4998 0.0068
In2 0.0983 0.3951 0.6033
In3 0.6939 0.8060 0.1962
In4 0.6349 0.0930 0.3956
In5 0.5941 0.3942 0.5954
In6 0.0590 0.7054 0.7962
In7 0.9410 0.2946 0.2038
In8 0.4059 0.6058 0.4046
In9 0.3651 0.9070 0.6044
In10 0.3061 0.1940 0.8038
In11 0.9017 0.6049 0.3967
In12 0.7475 0.5002 0.9932
Pb1 0.0000 0.0000 0.0000

## Properties
crystal system = triclinic
SG = P-1


Stability, lowest: i


i | Computed, not measured: a relaxed structure of Mg12In6Pb at the GGA-PBE level of DFT.

a b c (Å): 7.9669 8.4837 8.4837
angles (deg): 69.33 71.76 108.24
Fractional coordinates of all 19 atoms:
Mg1 0.5254 0.8468 0.2648
Mg2 0.6786 0.8884 0.8468
Mg3 0.7902 0.2648 0.8884
Mg4 0.4746 0.1532 0.7352
Mg5 0.3214 0.1116 0.1532
Mg6 0.2098 0.7352 0.1116
Mg7 0.2658 0.4301 0.6307
Mg8 0.1035 0.3693 0.0608
Mg9 0.1643 0.0608 0.5699
Mg10 0.7342 0.5699 0.3693
Mg11 0.8965 0.6307 0.9392
Mg12 0.8357 0.9392 0.4301
In1 0.4200 0.4812 0.2152
In2 0.0612 0.6964 0.5188
In3 0.3648 0.7848 0.6964
In4 0.5800 0.5188 0.7848
In5 0.9388 0.3036 0.4812
In6 0.6352 0.2152 0.3036
Pb1 0.0000 0.0000 0.0000

## Properties
crystal system = trigonal
SG = R-3


ii | Computed, not measured: a relaxed structure of Mg12In6Pb at the GGA-PBE level of DFT.

a b c (Å): 8.0657 8.0657 8.0657
angles (deg): 103.41 103.41 103.41
Fractional coordinates of all 19 atoms:
Mg1 0.8106 0.4219 0.4061
Mg2 0.4061 0.8106 0.4219
Mg3 0.4219 0.4061 0.8106
Mg4 0.1894 0.5781 0.5939
Mg5 0.5939 0.1894 0.5781
Mg6 0.5781 0.5939 0.1894
Mg7 0.9941 0.7400 0.2662
Mg8 0.2600 0.7338 0.0059
Mg9 0.7338 0.0059 0.2600
Mg10 0.0059 0.2600 0.7338
Mg11 0.7400 0.2662 0.9941
Mg12 0.2662 0.9941 0.7400
In1 0.8162 0.8368 0.5644
In2 0.4356 0.1838 0.1632
In3 0.1632 0.4356 0.1838
In4 0.1838 0.1632 0.4356
In5 0.5644 0.8162 0.8368
In6 0.8368 0.5644 0.8162
Pb1 0.0000 0.0000 0.0000

## Properties
crystal system = trigonal
SG = R-3


Stability, lowest: ii


i | Computed, not measured: a relaxed structure of Mg4InPb3 at the GGA-PBE level of DFT.

a b c (Å): 3.5183 5.4709 10.6962
angles (deg): 90.00 90.00 90.00
Fractional coordinates of all 8 atoms:
Pb1 0.5000 0.0000 0.2490
Pb2 0.5000 0.5000 0.5000
Pb3 0.5000 0.0000 0.7510
Mg1 0.0000 0.0000 0.5000
Mg2 0.0000 0.5000 0.7557
Mg3 0.0000 0.0000 0.0000
Mg4 0.0000 0.5000 0.2443
In1 0.5000 0.5000 0.0000

## Properties
crystal system = orthorhombic
SG = Pmmm


ii | Computed, not measured: a relaxed structure of Mg4InPb3 at the GGA-PBE level of DFT.

a b c (Å): 3.4043 8.0808 8.0808
angles (deg): 99.51 90.00 90.00
Fractional coordinates of all 8 atoms:
Mg1 0.0000 0.7507 0.7507
Mg2 0.5000 0.2525 0.7475
Mg3 0.0000 0.2493 0.2493
Mg4 0.5000 0.7475 0.2525
In1 0.5000 0.0000 0.0000
Pb1 0.0000 0.0000 0.5000
Pb2 0.5000 0.5000 0.5000
Pb3 0.0000 0.5000 0.0000

## Properties
crystal system = orthorhombic
SG = Cmmm


Stability, lowest: ii


i | Computed, not measured: a relaxed structure of MgIn3Pb3 at the GGA-PBE level of DFT.

a b c (Å): 7.6806 7.6806 7.6806
angles (deg): 72.02 72.02 72.02
Fractional coordinates of all 14 atoms:
Mg1 0.2479 0.2479 0.2479
Mg2 0.7521 0.7521 0.7521
In1 0.6795 0.0974 0.9636
In2 0.0974 0.9636 0.6795
In3 0.9636 0.6795 0.0974
In4 0.0364 0.3205 0.9026
In5 0.9026 0.0364 0.3205
In6 0.3205 0.9026 0.0364
Pb1 0.6096 0.4641 0.1730
Pb2 0.1730 0.6096 0.4641
Pb3 0.4641 0.1730 0.6096
Pb4 0.5359 0.8270 0.3904
Pb5 0.8270 0.3904 0.5359
Pb6 0.3904 0.5359 0.8270

## Properties
crystal system = trigonal
SG = R-3


ii | Computed, not measured: a relaxed structure of MgIn3Pb3 at the GGA-PBE level of DFT.

a b c (Å): 5.5457 9.0891 9.0891
angles (deg): 120.00 90.00 90.00
Fractional coordinates of all 14 atoms:
Mg1 0.2500 0.6667 0.3333
Mg2 0.7500 0.3333 0.6667
In1 0.7500 0.6099 0.5094
In2 0.7500 0.4906 0.1005
In3 0.7500 0.8995 0.3901
In4 0.2500 0.3901 0.4906
In5 0.2500 0.5094 0.8995
In6 0.2500 0.1005 0.6099
Pb1 0.2500 0.8160 0.7395
Pb2 0.2500 0.2605 0.0765
Pb3 0.2500 0.9235 0.1840
Pb4 0.7500 0.1840 0.2605
Pb5 0.7500 0.7395 0.9235
Pb6 0.7500 0.0765 0.8160

## Properties
crystal system = hexagonal
SG = P6_3/m


Stability, lowest: i


i | Computed, not measured: a relaxed structure of PmMgInPb at the GGA-PBE level of DFT.

a b c (Å): 4.5560 4.7566 4.8945
angles (deg): 90.00 90.00 90.00
Fractional coordinates of all 4 atoms:
Pm1 0.0000 0.5000 0.5000
Mg1 0.0000 0.0000 0.0000
In1 0.5000 0.5000 0.0000
Pb1 0.5000 0.0000 0.5000

## Properties
crystal system = orthorhombic
SG = Pmmm


ii | Computed, not measured: a relaxed structure of PmMgInPb at the GGA-PBE level of DFT.

a b c (Å): 5.3703 5.3703 5.3703
angles (deg): 60.00 60.00 60.00
Fractional coordinates of all 4 atoms:
Pb1 0.5000 0.5000 0.5000
Mg1 0.7500 0.7500 0.7500
In1 0.0000 0.0000 0.0000
Pm1 0.2500 0.2500 0.2500

## Properties
crystal system = cubic
SG = F-43m


Stability, lowest: ii


i | Computed, not measured: a relaxed structure of PrMgInPb at the GGA-PBE level of DFT.

a b c (Å): 5.4076 5.4076 5.4076
angles (deg): 60.00 60.00 60.00
Fractional coordinates of all 4 atoms:
Pb1 0.5000 0.5000 0.5000
Pr1 0.2500 0.2500 0.2500
Mg1 0.7500 0.7500 0.7500
In1 0.0000 0.0000 0.0000

## Properties
crystal system = cubic
SG = F-43m


ii | Computed, not measured: a relaxed structure of PrMgInPb at the GGA-PBE level of DFT.

a b c (Å): 4.6039 4.7968 4.9289
angles (deg): 90.00 90.00 90.00
Fractional coordinates of all 4 atoms:
Pr1 0.0000 0.5000 0.5000
Mg1 0.0000 0.0000 0.0000
In1 0.5000 0.5000 0.0000
Pb1 0.5000 0.0000 0.5000

## Properties
crystal system = orthorhombic
SG = Pmmm


Stability, lowest: i


i | Computed, not measured: a relaxed structure of MgIn2PtPb at the GGA-PBE level of DFT.

a b c (Å): 5.8280 5.1331 5.8280
angles (deg): 90.00 90.00 90.00
Fractional coordinates of all 5 atoms:
Pb1 0.0000 0.0000 0.0000
Mg1 0.5000 0.5000 0.5000
Pt1 0.0000 0.5000 0.0000
In1 0.0000 0.0000 0.5000
In2 0.5000 0.0000 0.0000

## Properties
crystal system = tetragonal
SG = P4/mmm


ii | Computed, not measured: a relaxed structure of MgIn2PtPb at the GGA-PBE level of DFT.

a b c (Å): 5.1911 5.1911 5.0819
angles (deg): 90.00 90.00 90.00
Fractional coordinates of all 5 atoms:
Pb1 0.5000 0.5000 0.5000
Mg1 0.0000 0.0000 0.5000
Pt1 0.0000 0.0000 0.0000
In1 0.0000 0.5000 0.0000
In2 0.5000 0.0000 0.0000

## Properties
crystal system = tetragonal
SG = P4/mmm


Stability, lowest: i


i | Computed, not measured: a relaxed structure of PuMgInPb at the GGA-PBE level of DFT.

a b c (Å): 4.5008 4.7413 4.8524
angles (deg): 90.00 90.00 90.00
Last column: magnetic moment on the atom in μB.
Fractional coordinates of all 4 atoms:
Pu1 0.0000 0.5000 0.5000  -5.37
Mg1 0.0000 0.0000 0.0000  -0.01
In1 0.5000 0.5000 0.0000  -0.01
Pb1 0.5000 0.0000 0.5000  0.02

## Properties
crystal system = orthorhombic
SG = Pmmm


ii | Computed, not measured: a relaxed structure of PuMgInPb at the GGA-PBE level of DFT.

a b c (Å): 5.3048 5.3048 5.3048
angles (deg): 60.00 60.00 60.00
Last column: magnetic moment on the atom in μB.
Fractional coordinates of all 4 atoms:
Pb1 0.0000 0.0000 0.0000  -0.01
Mg1 0.7500 0.7500 0.7500  -0.01
In1 0.5000 0.5000 0.5000  0.01
Pu1 0.2500 0.2500 0.2500  5.49

## Properties
crystal system = cubic
SG = F-43m


Stability, lowest: ii


i | Computed, not measured: a relaxed structure of MgScInPb at the GGA-PBE level of DFT.

a b c (Å): 5.1709 5.1709 5.1709
angles (deg): 60.00 60.00 60.00
Fractional coordinates of all 4 atoms:
Pb1 0.5000 0.5000 0.5000
Sc1 0.7500 0.7500 0.7500
Mg1 0.2500 0.2500 0.2500
In1 0.0000 0.0000 0.0000

## Properties
crystal system = cubic
SG = F-43m


ii | Computed, not measured: a relaxed structure of MgScInPb at the GGA-PBE level of DFT.

a b c (Å): 4.3439 4.5828 4.7489
angles (deg): 90.00 90.00 90.00
Fractional coordinates of all 4 atoms:
Mg1 0.0000 0.5000 0.5000
Sc1 0.0000 0.0000 0.0000
In1 0.5000 0.0000 0.5000
Pb1 0.5000 0.5000 0.0000

## Properties
crystal system = orthorhombic
SG = Pmmm


Stability, lowest: i


i | Computed, not measured: a relaxed structure of MgInSnPb at the GGA-PBE level of DFT.

a b c (Å): 5.3653 5.3653 5.3653
angles (deg): 60.00 60.00 60.00
Fractional coordinates of all 4 atoms:
Pb1 0.0000 0.0000 0.0000
Mg1 0.5000 0.5000 0.5000
Sn1 0.2500 0.2500 0.2500
In1 0.7500 0.7500 0.7500

## Properties
crystal system = cubic
SG = F-43m


ii | Computed, not measured: a relaxed structure of MgInSnPb at the GGA-PBE level of DFT.

a b c (Å): 3.4713 3.4713 8.8424
angles (deg): 90.00 90.00 90.00
Fractional coordinates of all 4 atoms:
Mg1 0.0000 0.0000 0.5718
In1 0.5000 0.5000 0.3469
Sn1 0.5000 0.5000 0.7932
Pb1 0.0000 0.0000 0.0727

## Properties
crystal system = tetragonal
SG = P4mm


Stability, lowest: i


i | Computed, not measured: a relaxed structure of TbMgInPb at the GGA-PBE level of DFT.

a b c (Å): 4.5033 4.6953 4.8545
angles (deg): 90.00 90.00 90.00
Fractional coordinates of all 4 atoms:
Tb1 0.5000 0.0000 0.5000
Mg1 0.5000 0.5000 0.0000
In1 0.0000 0.0000 0.0000
Pb1 0.0000 0.5000 0.5000

## Properties
crystal system = orthorhombic
SG = Pmmm


ii | Computed, not measured: a relaxed structure of TbMgInPb at the GGA-PBE level of DFT.

a b c (Å): 5.3193 5.3193 5.3193
angles (deg): 60.00 60.00 60.00
Fractional coordinates of all 4 atoms:
Pb1 0.5000 0.5000 0.5000
Mg1 0.2500 0.2500 0.2500
Tb1 0.7500 0.7500 0.7500
In1 0.0000 0.0000 0.0000

## Properties
crystal system = cubic
SG = F-43m


Stability, lowest: ii


i | Computed, not measured: a relaxed structure of ThMgInPb at the GGA-PBE level of DFT.

a b c (Å): 5.3798 5.3798 5.3798
angles (deg): 60.00 60.00 60.00
Fractional coordinates of all 4 atoms:
Pb1 0.7500 0.7500 0.7500
Mg1 0.0000 0.0000 0.0000
Th1 0.5000 0.5000 0.5000
In1 0.2500 0.2500 0.2500

## Properties
crystal system = cubic
SG = F-43m


ii | Computed, not measured: a relaxed structure of ThMgInPb at the GGA-PBE level of DFT.

a b c (Å): 4.5835 4.8449 4.8892
angles (deg): 90.00 90.00 90.00
Fractional coordinates of all 4 atoms:
Th1 0.5000 0.5000 0.0000
Mg1 0.5000 0.0000 0.5000
In1 0.0000 0.5000 0.5000
Pb1 0.0000 0.0000 0.0000

## Properties
crystal system = orthorhombic
SG = Pmmm


Stability, lowest: i